No. 1
A relaxed Cu2H2Os crystal, computed with PBE-GGA.

Unit cell a=4.829 b=4.829 c=4.023 alpha=90.00 beta=90.00 gamma=90.00
Atoms (fractional coordinates):
H  0.837  0.663  0.000
H  0.337  0.837  0.000
H  0.163  0.337  0.000
H  0.663  0.163  0.000
Cu  0.302  0.802  0.500
Cu  0.802  0.698  0.500
Cu  0.198  0.302  0.500
Cu  0.698  0.198  0.500
Os  0.000  0.000  0.000
Os  0.500  0.500  0.000

## Properties
**Space group**: No. 127
**DFT total energy**: -4.876 eV per atom

No. 2
A relaxed Nd2Ho8Er3 crystal, computed with PBE-GGA.

Unit cell a=5.508 b=7.573 c=11.029 alpha=110.09 beta=90.01 gamma=90.00
Atoms (fractional coordinates):
Nd  0.500  0.760  0.519
Nd  0.500  0.240  0.481
Er  0.000  0.286  0.000
Er  0.000  0.714  0.000
Er  0.500  0.000  0.000
Ho  0.000  0.661  0.322
Ho  0.500  0.820  0.212
Ho  0.000  0.339  0.678
Ho  0.500  0.607  0.788
Ho  0.500  0.393  0.212
Ho  0.500  0.180  0.788
Ho  0.000  0.128  0.256
Ho  0.000  0.872  0.744

## Properties
**Space group**: No. 65
**Formation energy from the elements**: 0.240 eV/atom

No. 3
A relaxed La3HoTm6 crystal, computed with PBE-GGA.

Unit cell a=6.252 b=10.991 c=10.991 alpha=119.57 beta=90.00 gamma=90.00
Atoms (fractional coordinates):
Tm  0.872  0.959  0.536
Tm  0.372  0.536  0.959
Tm  0.040  0.383  0.286
Tm  0.540  0.286  0.383
Tm  0.540  0.617  0.714
Tm  0.372  0.041  0.464
Tm  0.636  0.278  0.722
Tm  0.872  0.464  0.041
Tm  0.136  0.722  0.278
Tm  0.040  0.714  0.617
Tm  0.900  0.043  0.957
Tm  0.400  0.957  0.043
La  0.563  0.610  0.390
La  0.965  0.060  0.284
La  0.063  0.390  0.610
La  0.465  0.940  0.716
La  0.965  0.716  0.940
La  0.465  0.284  0.060
Ho  0.133  0.202  0.798
Ho  0.633  0.798  0.202

## Properties
**Space group**: No. 36
**Formation energy from the elements**: 0.158 eV/atom

Volume
In order: 93.8 432.0 656.9
Unit: Å³ per cell